No. 1
First-principles (PBE) data for a geometry-optimized NdSm2Pb structure, as listed in the Alexandria database.

Cell: 5.587 5.587 5.587 Å, 60.00 60.00 60.00°
Element x y z (fractional)
Pb: 0.500 0.500 0.500
Nd: 0.000 0.000 0.000
Sm: 0.250 0.250 0.250
Sm: 0.750 0.750 0.750

Results
Energy of formation from the pure elements (eV/f.u.): -0.53
Symmetry: Fm-3m
ρ (kg/m³): 8784
V (Å³ per atom): 30.82
M_tot (μB per formula unit): 0.0



No. 2
First-principles (PBE) data for a geometry-optimized Nd2SmPb3 structure, as listed in the Alexandria database.

Cell: 5.954 8.788 8.788 Å, 113.74 103.84 103.84°
Element x y z (fractional)
Nd: 0.250 0.917 0.083
Nd: 0.250 0.249 0.751
Nd: 0.750 0.083 0.917
Nd: 0.750 0.751 0.249
Sm: 0.250 0.584 0.416
Sm: 0.750 0.416 0.584
Pb: 0.998 0.170 0.335
Pb: 0.498 0.335 0.170
Pb: 0.000 0.500 0.000
Pb: 0.002 0.830 0.665
Pb: 0.500 0.000 0.500
Pb: 0.502 0.665 0.830

Results
Energy of formation from the pure elements (eV/f.u.): -2.93
Symmetry: C2/c
ρ (kg/m³): 9307
V (Å³ per atom): 31.53
M_tot (μB per formula unit): 0.0



No. 3
First-principles (PBE) data for a geometry-optimized Nd5Sm2Pb4 structure, as listed in the Alexandria database.

Cell: 3.605 8.503 14.393 Å, 123.31 97.19 90.00°
Element x y z (fractional)
Nd: 0.178 0.871 0.356
Nd: 0.822 0.129 0.644
Nd: 0.127 0.200 0.255
Nd: 0.500 0.000 0.000
Nd: 0.873 0.800 0.745
Sm: 0.729 0.632 0.458
Sm: 0.271 0.368 0.542
Pb: 0.591 0.466 0.182
Pb: 0.039 0.727 0.078
Pb: 0.409 0.534 0.818
Pb: 0.961 0.273 0.922

Results
Energy of formation from the pure elements (eV/f.u.): -0.79
Symmetry: C2/m
ρ (kg/m³): 8430
V (Å³ per atom): 33.14
M_tot (μB per formula unit): 0.0



No. 4
First-principles (PBE) data for a geometry-optimized NdSm3Pb2 structure, as listed in the Alexandria database.

Cell: 4.646 4.646 8.871 Å, 90.00 90.00 90.00°
Element x y z (fractional)
Nd: 0.500 0.500 0.000
Sm: 0.500 0.000 0.347
Sm: 0.000 0.500 0.653
Sm: 0.000 0.000 0.000
Pb: 0.500 0.000 0.714
Pb: 0.000 0.500 0.286

Results
Energy of formation from the pure elements (eV/f.u.): -2.61
Symmetry: P-4m2
ρ (kg/m³): 8757
V (Å³ per atom): 31.91
M_tot (μB per formula unit): 0.0



No. 5
First-principles (PBE) data for a geometry-optimized NdSm4Pb structure, as listed in the Alexandria database.

Cell: 8.942 8.942 8.942 Å, 98.65 98.65 134.37°
Element x y z (fractional)
Nd: 0.287 0.287 0.000
Nd: 0.037 0.537 0.500
Sm: 0.237 0.968 0.731
Sm: 0.730 0.469 0.739
Sm: 0.718 0.487 0.231
Sm: 0.219 0.980 0.239
Sm: 0.256 0.487 0.769
Sm: 0.740 0.980 0.761
Sm: 0.730 0.990 0.261
Sm: 0.237 0.506 0.269
Pb: 0.779 0.779 0.000
Pb: 0.529 0.029 0.500

Results
Energy of formation from the pure elements (eV/f.u.): 2.23
Symmetry: I4_1md
ρ (kg/m³): 6718
V (Å³ per atom): 39.26
M_tot (μB per formula unit): 0.0



No. 6
First-principles (PBE) data for a geometry-optimized Nd6SmPb structure, as listed in the Alexandria database.

Cell: 5.035 5.035 10.470 Å, 90.00 90.00 90.00°
Element x y z (fractional)
Nd: 0.500 0.500 0.000
Nd: 0.500 0.500 0.500
Nd: 0.500 0.000 0.243
Nd: 0.500 0.000 0.757
Nd: 0.000 0.500 0.243
Nd: 0.000 0.500 0.757
Sm: 0.000 0.000 0.500
Pb: 0.000 0.000 0.000

Results
Energy of formation from the pure elements (eV/f.u.): -1.15
Symmetry: P4/mmm
ρ (kg/m³): 7650
V (Å³ per atom): 33.18
M_tot (μB per formula unit): 0.0



No. 7
First-principles (PBE) data for a geometry-optimized Nd3Sm2Pb structure, as listed in the Alexandria database.

Cell: 5.017 4.983 8.187 Å, 107.72 90.00 90.00°
Element x y z (fractional)
Nd: 0.500 0.166 0.332
Nd: 0.500 0.500 0.000
Nd: 0.500 0.834 0.668
Sm: 0.000 0.662 0.325
Sm: 0.000 0.338 0.675
Pb: 0.000 0.000 0.000

Results
Energy of formation from the pure elements (eV/f.u.): -1.16
Symmetry: Cmmm
ρ (kg/m³): 8011
V (Å³ per atom): 32.50
M_tot (μB per formula unit): 0.0



No. 8
First-principles (PBE) data for a geometry-optimized NdSm4Pb5 structure, as listed in the Alexandria database.

Cell: 3.584 3.584 22.957 Å, 90.00 90.00 90.00°
Element x y z (fractional)
Nd: 0.000 0.000 0.000
Sm: 0.000 0.000 0.201
Sm: 0.000 0.000 0.400
Sm: 0.000 0.000 0.600
Sm: 0.000 0.000 0.799
Pb: 0.500 0.500 0.102
Pb: 0.500 0.500 0.301
Pb: 0.500 0.500 0.500
Pb: 0.500 0.500 0.699
Pb: 0.500 0.500 0.898

Results
Energy of formation from the pure elements (eV/f.u.): -4.98
Symmetry: P4/mmm
ρ (kg/m³): 10036
V (Å³ per atom): 29.48
M_tot (μB per formula unit): 0.0



No. 9
First-principles (PBE) data for a geometry-optimized Nd2SmPb structure, as listed in the Alexandria database.

Cell: 5.003 4.967 4.967 Å, 90.00 90.00 90.00°
Element x y z (fractional)
Pb: 0.500 0.000 0.000
Nd: 0.000 0.000 0.500
Nd: 0.000 0.500 0.000
Sm: 0.500 0.500 0.500

Results
Energy of formation from the pure elements (eV/f.u.): -1.33
Symmetry: P4/mmm
ρ (kg/m³): 8689
V (Å³ per atom): 30.86
M_tot (μB per formula unit): 0.0



No. 10
First-principles (PBE) data for a geometry-optimized NdSm2Pb structure, as listed in the Alexandria database.

Cell: 3.606 3.606 12.485 Å, 81.70 81.70 60.00°
Element x y z (fractional)
Pb: 0.000 0.000 0.000
Nd: 0.500 0.500 0.500
Sm: 0.087 0.087 0.738
Sm: 0.913 0.913 0.262

Results
Energy of formation from the pure elements (eV/f.u.): 0.17
Symmetry: R-3m
ρ (kg/m³): 7814
V (Å³ per atom): 34.65
M_tot (μB per formula unit): 0.0



No. 11
First-principles (PBE) data for a geometry-optimized NdSm2Pb structure, as listed in the Alexandria database.

Cell: 4.281 4.281 6.901 Å, 90.00 90.00 90.00°
Element x y z (fractional)
Pb: 0.500 0.500 0.000
Nd: 0.500 0.500 0.500
Sm: 0.000 0.000 0.771
Sm: 0.000 0.000 0.229

Results
Energy of formation from the pure elements (eV/f.u.): -0.92
Symmetry: P4/mmm
ρ (kg/m³): 8563
V (Å³ per atom): 31.62
M_tot (μB per formula unit): 0.0



No. 12
First-principles (PBE) data for a geometry-optimized NdSm5Pb6 structure, as listed in the Alexandria database.

Cell: 5.024 9.154 9.293 Å, 119.51 105.68 90.00°
Element x y z (fractional)
Pb: 0.833 0.582 0.666
Pb: 0.833 0.083 0.666
Pb: 0.500 0.749 0.000
Pb: 0.500 0.251 0.000
Pb: 0.167 0.917 0.334
Pb: 0.167 0.418 0.334
Nd: 0.000 0.000 0.000
Sm: 0.667 0.167 0.334
Sm: 0.333 0.333 0.666
Sm: 0.000 0.500 0.000
Sm: 0.667 0.667 0.334
Sm: 0.333 0.833 0.666

Results
Energy of formation from the pure elements (eV/f.u.): -5.93
Symmetry: Immm
ρ (kg/m³): 10048
V (Å³ per atom): 29.46
M_tot (μB per formula unit): 0.0